1.
Compound: Sm3Cu2Hg3
Source: the Alexandria database
Functional: PBE
Structure: relaxed Values from VASP.

Results
- space group = P-62m, No. 189
- size of the total moment (μB/cell) = 0.000
- calculated total energy (eV/atom) = -3.25
- energy of formation from the pure elements (meV/atom) = -342

Cell and atoms, written as Quantum ESPRESSO input:
```
&SYSTEM
  ibrav = 0, nat = 8, ntyp = 3
/
ATOMIC_SPECIES
Sm 150.36 Sm.upf
Cu 63.55 Cu.upf
Hg 200.59 Hg.upf
CELL_PARAMETERS angstrom
7.538 0.000 0.000
-3.769 6.528 0.000
0.000 0.000 3.878
ATOMIC_POSITIONS crystal
Sm 0.000 0.406 0.000
Sm 0.406 0.000 0.000
Sm 0.594 0.594 0.000
Cu 0.333 0.667 0.500
Cu 0.667 0.333 0.500
Hg 0.000 0.755 0.500
Hg 0.245 0.245 0.500
Hg 0.755 0.000 0.500
```

2.
Compound: TlSe3O
Source: the Alexandria database
Functional: PBE
Structure: relaxed Values from VASP.

Results
- space group = Pm-3m, No. 221
- size of the total moment (μB/cell) = 0.000
- calculated total energy (eV/atom) = -3.24
- uncorrected formation energy (eV per atom) = 0.3135
- energy above the most stable polymorph in this dataset (eV/atom) = 0.0000

Cell and atoms, written as Quantum ESPRESSO input:
```
&SYSTEM
  ibrav = 0, nat = 5, ntyp = 3
/
ATOMIC_SPECIES
Tl 204.38 Tl.upf
Se 78.96 Se.upf
O 16.00 O.upf
CELL_PARAMETERS angstrom
4.682 0.000 0.000
0.000 4.682 0.000
0.000 0.000 4.682
ATOMIC_POSITIONS crystal
Tl 0.000 0.000 0.000
Se 0.000 0.500 0.500
Se 0.500 0.000 0.500
Se 0.500 0.500 0.000
O 0.500 0.500 0.500
```

3.
Compound: GaIr3W2
Source: the Alexandria database
Functional: PBE
Structure: relaxed Values from VASP.

Results
- space group = P4/mmm, No. 123
- size of the total moment (μB/cell) = 0.000
- calculated total energy (eV/atom) = -9.58
- energy of formation from the pure elements (meV/atom) = -332

Cell and atoms, written as Quantum ESPRESSO input:
```
&SYSTEM
  ibrav = 0, nat = 6, ntyp = 3
/
ATOMIC_SPECIES
Ga 69.72 Ga.upf
Ir 192.22 Ir.upf
W 183.84 W.upf
CELL_PARAMETERS angstrom
2.812 0.000 0.000
0.000 2.812 0.000
0.000 0.000 11.334
ATOMIC_POSITIONS crystal
Ga 0.000 0.000 0.000
Ir 0.500 0.500 0.161
Ir 0.500 0.500 0.500
Ir 0.500 0.500 0.839
W 0.000 0.000 0.327
W 0.000 0.000 0.673
```

What is the size of the total moment in the first record? 0.000 μB/cell

The highest calculated total energy belongs to which entry? TlSe3O

The highest calculated total energy belongs to which entry? TlSe3O

What is the calculated total energy in the third record? -9.58 eV/atom